Pd5Au4 | PBE | optimized geometry

Properties
E above lowest polymorph	0.0	meV per atom
energy of formation	-0.07	eV/atom
spin magnetization	0.0	μB/cell
DOS(E_F)	26.25	states/eV/cell

Cell and atoms, written as CIF:
```
data_Pd5Au4
_space_group_name_H-M_alt 'C 1 2/m 1'
_space_group_IT_number 12
_space_group_name_Hall '-C 2y'
_cell_length_a 9.028
_cell_length_b 4.045
_cell_length_c 8.568
_cell_angle_alpha 90.00
_cell_angle_beta 108.17
_cell_angle_gamma 90.00
loop_
_atom_site_label
_atom_site_fract_x
_atom_site_fract_y
_atom_site_fract_z
Pd1 0.000 0.000 0.000
Pd2 0.167 0.500 0.556
Pd3 0.168 0.500 0.891
Au1 0.000 0.000 0.333
Au2 0.167 0.500 0.220
```